[1]
# LaAu2Br

Crystalline LaAu2Br at its relaxed geometry (GGA-PBE, Alexandria via LeMat-Bulk).

CIF file:
```
data_LaAu2Br
_symmetry_space_group_name_H-M 'P 4 m m'
_symmetry_Int_Tables_number 99
_symmetry_space_group_name_Hall 'P 4 -2'
_cell_length_a 3.743
_cell_length_b 3.743
_cell_length_c 7.994
_cell_angle_alpha 90.00
_cell_angle_beta 90.00
_cell_angle_gamma 90.00
loop_
_atom_site_label
_atom_site_fract_x
_atom_site_fract_y
_atom_site_fract_z
La1 0.000 0.000 0.000
Au1 0.000 0.000 0.372
Au2 0.500 0.500 0.212
Br1 0.500 0.500 0.762
```

[2]
# La2AuBr

Crystalline La2AuBr at its relaxed geometry (GGA-PBE, Alexandria via LeMat-Bulk).

CIF file:
```
data_La2AuBr
_symmetry_space_group_name_H-M 'P 4/m m m'
_symmetry_Int_Tables_number 123
_symmetry_space_group_name_Hall '-P 4 2'
_cell_length_a 4.346
_cell_length_b 4.346
_cell_length_c 6.320
_cell_angle_alpha 90.00
_cell_angle_beta 90.00
_cell_angle_gamma 90.00
loop_
_atom_site_label
_atom_site_fract_x
_atom_site_fract_y
_atom_site_fract_z
La1 0.000 0.000 0.000
La2 0.500 0.500 0.500
Au1 0.000 0.000 0.500
Br1 0.500 0.500 0.000
```

[3]
# LaAu2Br

Crystalline LaAu2Br at its relaxed geometry (GGA-PBE, Alexandria via LeMat-Bulk).

CIF file:
```
data_LaAu2Br
_symmetry_space_group_name_H-M 'I -4 2 d'
_symmetry_Int_Tables_number 122
_symmetry_space_group_name_Hall 'I -4 2bw'
_cell_length_a 8.688
_cell_length_b 8.688
_cell_length_c 5.770
_cell_angle_alpha 90.00
_cell_angle_beta 90.00
_cell_angle_gamma 90.00
loop_
_atom_site_label
_atom_site_fract_x
_atom_site_fract_y
_atom_site_fract_z
La1 0.000 0.000 0.000
Au1 0.241 0.250 0.125
Br1 0.000 0.000 0.500
```

Computed volume, in the same sequence as the records: 112.0, 119.4, 435.5 Å³/cell.
Computed N(E_F), in the same sequence as the records: 0.157, 0.654, 0.104 states/eV per atom.
Computed energy relative to the elements, uncorrected, in the same sequence as the records: -0.80, -1.07, -0.76 eV per atom.